YMg6VO8 | PBE with a Hubbard U | relaxed

Cell and atoms, written as POSCAR:
```
YMg6VO8
1.0
-1.4228 4.0779 -0.9959
-4.1711 -1.2552 0.8196
0.9411 2.3930 8.4541
Mg V O Y
6 1 8 1
direct
0.5000 0.0000 0.7360 Mg
0.0000 0.5000 0.7360 Mg
0.5000 0.0000 0.2640 Mg
0.0000 0.0000 0.5000 Mg
0.5000 0.5000 0.5000 Mg
0.0000 0.5000 0.2640 Mg
0.5000 0.5000 0.0000 V
0.0000 0.5000 0.5000 O
0.5000 0.0000 0.0000 O
0.5000 0.0000 0.5000 O
0.5000 0.5000 0.2577 O
0.0000 0.5000 0.0000 O
0.5000 0.5000 0.7423 O
0.0000 0.0000 0.2626 O
0.0000 0.0000 0.7374 O
0.0000 0.0000 0.0000 Y
```

Energy = -102.73 eV for the cell shown
Magnetic moment = 0.1583 μB/atom
Relative energy among the computed polymorphs = 0.000 eV per atom